Entry 1:
BiAuBr2 | PBE | optimized geometry

As for the crystal system: trigonal. As for the energy above the most stable polymorph in this dataset: 113 meV per atom. Its magnetic moment is 0.00 Bohr magnetons per cell. The calculation puts the final energy at -2.67 eV/atom. The uncorrected formation energy comes out at -0.041 eV per atom.

The structure belongs to space group R-3m (No. 166, hexagonal axes); the cell edges are 3.7046, 3.7046 and 29.4886 Å and the angles 90.00°, 90.00° and 120.00°. The asymmetric unit holds Bi at (0.0000, 0.0000, 0.0000), Au at (0.0000, 0.0000, 0.5000) and Br at (0.0000, 0.0000, 0.4161).

Entry 2:
Bi2AuBr | PBE | optimized geometry

As for the crystal system: trigonal. As for the energy above the most stable polymorph in this dataset: 3 meV per atom. Its magnetic moment is 0.00 Bohr magnetons per cell. The calculation puts the final energy at -3.41 eV/atom. The uncorrected formation energy comes out at -0.234 eV per atom.

The structure belongs to space group R3m (No. 160, hexagonal axes); the cell edges are 4.6309, 4.6309 and 20.4933 Å and the angles 90.00°, 90.00° and 120.00°. The asymmetric unit holds Bi at (0.0000, 0.0000, 0.0000), Bi at (0.0000, 0.0000, 0.2220), Au at (0.0000, 0.0000, 0.6124) and Br at (0.0000, 0.0000, 0.4483).

Entry 3:
Bi4Au2Br | PBE | optimized geometry

As for the crystal system: monoclinic. Its magnetic moment is 0.00 Bohr magnetons per cell. The calculation puts the final energy at -3.52 eV/atom. The uncorrected formation energy comes out at -0.131 eV per atom.

The structure belongs to space group C2/c (No. 15); the cell edges are 10.6938, 15.2710 and 7.5480 Å and the angles 90.00°, 134.78° and 90.00°. The asymmetric unit holds Bi at (0.9997, 0.1936, 0.0105), Bi at (0.2395, 0.4437, 0.9899), Au at (0.0000, 0.0000, 0.0000), Au at (0.2500, 0.2500, 0.0000) and Br at (0.0000, 0.3755, 0.2500).

Entry 4:
Bi2AuBrCl | PBE | optimized geometry

As for the crystal system: tetragonal. Its magnetic moment is 1.04 Bohr magnetons per cell. The calculation puts the final energy at -2.20 eV/atom. The uncorrected formation energy comes out at 0.717 eV per atom.

The structure belongs to space group P4/mmm (No. 123); the cell edges are 5.8121, 5.8121 and 5.1428 Å and the angles 90.00°, 90.00° and 90.00°. The asymmetric unit holds Bi at (0.0000, 0.5000, 0.0000), Au at (0.0000, 0.0000, 0.5000), Br at (0.0000, 0.0000, 0.0000) and Cl at (0.5000, 0.5000, 0.5000).

Entry 5:
Cs7BiAu2Br2 | PBE | optimized geometry

As for the crystal system: orthorhombic. Its magnetic moment is 0.00 Bohr magnetons per cell. The calculation puts the final energy at -2.42 eV/atom. The uncorrected formation energy comes out at -0.770 eV per atom.

The structure belongs to space group Imm2 (No. 44); the cell edges are 6.7460, 29.7877 and 7.0656 Å and the angles 90.00°, 90.00° and 90.00°. The asymmetric unit holds Cs at (0.0000, 0.0000, 0.0000), Cs at (0.0000, 0.0935, 0.5898), Cs at (0.0000, 0.2382, 0.0920), Cs at (0.0000, 0.4209, 0.6462), Bi at (0.0000, 0.5000, 0.1543), Au at (0.0000, 0.1177, 0.0938) and Br at (0.0000, 0.2186, 0.5917).

Entry 6:
Hf2BiAuBr | PBE | optimized geometry

As for the crystal system: tetragonal. Its magnetic moment is 0.00 Bohr magnetons per cell. The calculation puts the final energy at -4.85 eV/atom. The uncorrected formation energy comes out at 0.896 eV per atom.

The structure belongs to space group P4/mmm (No. 123); the cell edges are 4.8755, 4.8755 and 5.6379 Å and the angles 90.00°, 90.00° and 90.00°. The asymmetric unit holds Hf at (0.0000, 0.5000, 0.0000), Bi at (0.0000, 0.0000, 0.5000), Au at (0.5000, 0.5000, 0.5000) and Br at (0.0000, 0.0000, 0.0000).

Entry 7:
K2BiAuBr6 | PBE | optimized geometry

As for the crystal system: triclinic. As for the energy above the most stable polymorph in this dataset: 0 meV per atom. Its magnetic moment is 0.00 Bohr magnetons per cell. The calculation puts the final energy at -2.96 eV/atom. The uncorrected formation energy comes out at -1.017 eV per atom.

The structure belongs to space group P1 (No. 1); the cell edges are 7.9577, 8.1678 and 8.3505 Å and the angles 61.80°, 87.64° and 60.91°. The asymmetric unit holds K at (0.0000, 0.0000, 0.0000), K at (0.4484, 0.0538, 0.4371), Bi at (0.6755, 0.6241, 0.0819), Au at (0.2339, 0.6389, 0.7907), Br at (0.0072, 0.1797, 0.2774), Br at (0.3595, 0.0671, 0.8323), Br at (0.4270, 0.5277, 0.2959), Br at (0.5811, 0.5152, 0.7943), Br at (0.8027, 0.7319, 0.3000) and Br at (0.8808, 0.8043, 0.7728).

Entry 8:
K2BiAuBr6 | PBE | optimized geometry

As for the crystal system: cubic. As for the energy above the most stable polymorph in this dataset: 81 meV per atom. Its magnetic moment is 0.00 Bohr magnetons per cell. The calculation puts the final energy at -2.87 eV/atom. The uncorrected formation energy comes out at -0.936 eV per atom.

The structure belongs to space group Fm-3m (No. 225); the cell edges are 11.3367, 11.3367 and 11.3367 Å and the angles 90.00°, 90.00° and 90.00°. The asymmetric unit holds K at (0.2500, 0.2500, 0.2500), Bi at (0.0000, 0.0000, 0.0000), Au at (0.0000, 0.0000, 0.5000) and Br at (0.0000, 0.0000, 0.2533).

Entry 9:
Na2BiAuBr6 | PBE | optimized geometry

As for the crystal system: triclinic. Its magnetic moment is 0.00 Bohr magnetons per cell. The calculation puts the final energy at -2.90 eV/atom. The uncorrected formation energy comes out at -0.917 eV per atom.

The structure belongs to space group P1 (No. 1); the cell edges are 7.5053, 7.5075 and 8.1253 Å and the angles 114.06°, 92.41° and 119.80°. The asymmetric unit holds Na at (0.0000, 0.0000, 0.0000), Na at (0.4979, 0.0642, 0.5659), Bi at (0.1827, 0.4043, 0.6002), Au at (0.6002, 0.3988, 0.3130), Br at (0.0903, 0.9469, 0.3384), Br at (0.2671, 0.8673, 0.7982), Br at (0.3797, 0.5522, 0.3112), Br at (0.5634, 0.5276, 0.8194), Br at (0.7629, 0.1832, 0.2983) and Br at (0.9252, 0.2400, 0.8094).

Entry 10:
Rb2BiAuBr6 | PBE | optimized geometry

As for the crystal system: cubic. As for the energy above the most stable polymorph in this dataset: 52 meV per atom. Its magnetic moment is 0.00 Bohr magnetons per cell. The calculation puts the final energy at -2.89 eV/atom. The uncorrected formation energy comes out at -0.976 eV per atom.

The structure belongs to space group Fm-3m (No. 225); the cell edges are 11.3801, 11.3801 and 11.3801 Å and the angles 90.00°, 90.00° and 90.00°. The asymmetric unit holds Rb at (0.2500, 0.2500, 0.2500), Bi at (0.0000, 0.0000, 0.0000), Au at (0.0000, 0.0000, 0.5000) and Br at (0.0000, 0.0000, 0.2531).

Entry 11:
Rb2BiAuBr6 | PBE | optimized geometry

As for the crystal system: triclinic. As for the energy above the most stable polymorph in this dataset: 0 meV per atom. Its magnetic moment is 0.00 Bohr magnetons per cell. The calculation puts the final energy at -2.94 eV/atom. The uncorrected formation energy comes out at -1.028 eV per atom.

The structure belongs to space group P1 (No. 1); the cell edges are 8.1686, 8.2557 and 8.4231 Å and the angles 60.91°, 61.40° and 88.12°. The asymmetric unit holds Rb at (0.0000, 0.0000, 0.0000), Rb at (0.4550, 0.4321, 0.0537), Bi at (0.7655, 0.3066, 0.4572), Au at (0.2157, 0.6059, 0.4429), Br at (0.0130, 0.0927, 0.5368), Br at (0.0598, 0.5580, 0.0141), Br at (0.4568, 0.1087, 0.8998), Br at (0.5564, 0.6244, 0.3066), Br at (0.6146, 0.0825, 0.3756) and Br at (0.8827, 0.6030, 0.5433).

Entry 12:
ReBi2AuBr | PBE | optimized geometry

As for the crystal system: tetragonal. Its magnetic moment is 0.00 Bohr magnetons per cell. The calculation puts the final energy at -4.47 eV/atom. The uncorrected formation energy comes out at 0.561 eV per atom.

The structure belongs to space group P4/mmm (No. 123); the cell edges are 5.2982, 5.2982 and 5.1671 Å and the angles 90.00°, 90.00° and 90.00°. The asymmetric unit holds Re at (0.0000, 0.0000, 0.0000), Bi at (0.0000, 0.5000, 0.0000), Au at (0.0000, 0.0000, 0.5000) and Br at (0.5000, 0.5000, 0.5000).

Entry 13:
BiRhAuBr2 | PBE | optimized geometry

As for the crystal system: tetragonal. Its magnetic moment is 0.00 Bohr magnetons per cell. The calculation puts the final energy at -3.29 eV/atom. The uncorrected formation energy comes out at 0.286 eV per atom.

The structure belongs to space group P4/mmm (No. 123); the cell edges are 4.9083, 4.9083 and 5.5881 Å and the angles 90.00°, 90.00° and 90.00°. The asymmetric unit holds Bi at (0.0000, 0.0000, 0.0000), Rh at (0.0000, 0.0000, 0.5000), Au at (0.5000, 0.5000, 0.0000) and Br at (0.0000, 0.5000, 0.5000).

Entry 14:
Si2BiAuBr | PBE | optimized geometry

As for the crystal system: tetragonal. Its magnetic moment is 0.00 Bohr magnetons per cell. The calculation puts the final energy at -3.27 eV/atom. The uncorrected formation energy comes out at 0.667 eV per atom.

The structure belongs to space group P4/mmm (No. 123); the cell edges are 4.7611, 4.7611 and 6.0055 Å and the angles 90.00°, 90.00° and 90.00°. The asymmetric unit holds Si at (0.0000, 0.5000, 0.0000), Bi at (0.0000, 0.0000, 0.5000), Au at (0.5000, 0.5000, 0.0000) and Br at (0.5000, 0.5000, 0.5000).

Entry 15:
BiAu3C | PBE | optimized geometry

As for the crystal system: cubic. As for the energy above the most stable polymorph in this dataset: 0 meV per atom. Its magnetic moment is 0.00 Bohr magnetons per cell. The calculation puts the final energy at -3.78 eV/atom. The calculation puts the formation energy from the elements at 78.1 kJ per mole of atoms.

The structure belongs to space group Pm-3m (No. 221); the cell edges are 4.5325, 4.5325 and 4.5325 Å and the angles 90.00°, 90.00° and 90.00°. The asymmetric unit holds Bi at (0.0000, 0.0000, 0.0000), Au at (0.0000, 0.5000, 0.5000) and C at (0.5000, 0.5000, 0.5000).

Entry 16:
BiAu2C | PBE | optimized geometry

As for the crystal system: tetragonal. As for the energy above the most stable polymorph in this dataset: 0 meV per atom. Its magnetic moment is 0.00 Bohr magnetons per cell. The calculation puts the final energy at -4.06 eV/atom. The calculation puts the formation energy from the elements at 82.5 kJ per mole of atoms.

The structure belongs to space group I-42d (No. 122); the cell edges are 5.1834, 5.1834 and 12.8018 Å and the angles 90.00°, 90.00° and 90.00°. The asymmetric unit holds Bi at (0.0000, 0.0000, 0.0000), Au at (0.0996, 0.2500, 0.6250) and C at (0.0000, 0.0000, 0.5000).

Entry 17:
BiAu2C | PBE | optimized geometry

As for the crystal system: cubic. As for the energy above the most stable polymorph in this dataset: 569 meV per atom. Its magnetic moment is 0.00 Bohr magnetons per cell. The calculation puts the final energy at -3.49 eV/atom. The calculation puts the formation energy from the elements at 137.3 kJ per mole of atoms.

The structure belongs to space group Fm-3m (No. 225); the cell edges are 6.7198, 6.7198 and 6.7198 Å and the angles 90.00°, 90.00° and 90.00°. The asymmetric unit holds Bi at (0.0000, 0.0000, 0.0000), Au at (0.2500, 0.2500, 0.2500) and C at (0.0000, 0.0000, 0.5000).

Entry 18:
BiAu3C | PBE | optimized geometry

As for the crystal system: cubic. As for the energy above the most stable polymorph in this dataset: 1149 meV per atom. Its magnetic moment is 2.02 Bohr magnetons per cell. The calculation puts the final energy at -2.63 eV/atom. The calculation puts the formation energy from the elements at 189.0 kJ per mole of atoms.

The structure belongs to space group Pm-3m (No. 221); the cell edges are 5.3998, 5.3998 and 5.3998 Å and the angles 90.00°, 90.00° and 90.00°. The asymmetric unit holds Bi at (0.0000, 0.0000, 0.0000), Au at (0.0000, 0.0000, 0.5000) and C at (0.5000, 0.5000, 0.5000).

Entry 19:
CdBi2AuC | PBE | optimized geometry

As for the crystal system: tetragonal. Its magnetic moment is 1.35 Bohr magnetons per cell. The calculation puts the final energy at -2.34 eV/atom. The calculation puts the formation energy from the elements at 182.5 kJ per mole of atoms.

The structure belongs to space group P4/mmm (No. 123); the cell edges are 5.6390, 5.6390 and 5.1321 Å and the angles 90.00°, 90.00° and 90.00°. The asymmetric unit holds Cd at (0.0000, 0.0000, 0.0000), Bi at (0.0000, 0.5000, 0.0000), Au at (0.0000, 0.0000, 0.5000) and C at (0.5000, 0.5000, 0.5000).

Entry 20:
BiAuCI2 | PBE | optimized geometry

As for the crystal system: tetragonal. Its magnetic moment is 1.69 Bohr magnetons per cell. The calculation puts the final energy at -2.52 eV/atom. The uncorrected formation energy comes out at 1.374 eV per atom.

The structure belongs to space group P4/mmm (No. 123); the cell edges are 6.2212, 6.2212 and 4.5536 Å and the angles 90.00°, 90.00° and 90.00°. The asymmetric unit holds Bi at (0.0000, 0.0000, 0.0000), Au at (0.5000, 0.5000, 0.5000), C at (0.0000, 0.0000, 0.5000) and I at (0.0000, 0.5000, 0.0000).